[1]
Here is an optimized crystal structure of Y7ZnI12 from Alexandria via LeMat-Bulk. Energies are from PBE.

Cell and atoms, written as POSCAR:
```
Y7ZnI12
1.0
7.856 4.535 3.495
-7.856 4.535 3.495
0.000 -9.071 3.495
Y Zn I
7 1 12
Cartesian
0.000 0.000 0.000 Y
-2.188 -0.623 3.647 Y
1.633 -1.583 3.647 Y
0.554 2.206 3.647 Y
-0.554 -2.206 6.837 Y
-1.633 1.583 6.837 Y
2.188 0.623 6.837 Y
0.000 0.000 5.242 Zn
-0.630 -2.504 1.684 I
-1.854 1.798 1.684 I
-3.087 -3.149 5.205 I
-4.271 1.099 5.279 I
2.484 0.706 1.684 I
1.184 -4.248 5.279 I
-1.184 4.248 5.205 I
-2.484 -0.706 8.801 I
4.271 -1.099 5.205 I
3.087 3.149 5.279 I
1.854 -1.798 8.801 I
0.630 2.504 8.801 I
```

For the uncorrected formation energy, the calculation gives -1.1679 eV per atom.


[2]
Here is an optimized crystal structure of YZn3I from Alexandria via LeMat-Bulk. Energies are from PBE.

Cell and atoms, written as POSCAR:
```
YZn3I
1.0
5.283 0.000 0.000
0.000 5.283 0.000
0.000 0.000 5.283
Y Zn I
1 3 1
Cartesian
0.000 0.000 0.000 Y
0.000 2.641 2.641 Zn
2.641 0.000 2.641 Zn
2.641 2.641 0.000 Zn
2.641 2.641 2.641 I
```

For the uncorrected formation energy, the calculation gives 0.7835 eV per atom.


[3]
Here is an optimized crystal structure of YZnI3 from Alexandria via LeMat-Bulk. Energies are from PBE.

Cell and atoms, written as POSCAR:
```
YZnI3
1.0
5.528 0.000 0.000
0.000 5.528 0.000
0.000 0.000 5.528
Y Zn I
1 1 3
Cartesian
0.000 0.000 0.000 Y
2.764 2.764 2.764 Zn
0.000 2.764 2.764 I
2.764 0.000 2.764 I
2.764 2.764 0.000 I
```

For the uncorrected formation energy, the calculation gives -0.1668 eV per atom.


[4]
Here is an optimized crystal structure of Y2ZnI2 from Alexandria via LeMat-Bulk. Energies are from PBE.

Cell and atoms, written as POSCAR:
```
Y2ZnI2
1.0
2.029 1.171 12.156
-2.029 1.171 12.156
0.000 -2.342 12.156
Y Zn I
2 1 2
Cartesian
0.000 0.000 4.254 Y
0.000 0.000 32.213 Y
0.000 0.000 18.233 Zn
0.000 0.000 9.968 I
0.000 0.000 26.499 I
```

For the uncorrected formation energy, the calculation gives -0.8665 eV per atom.